(1)
# Tl2CrW

Crystalline Tl2CrW at its relaxed geometry (PBE, Alexandria via LeMat-Bulk).

Properties
Uncorrected energy, eV per atom: -6.214
Space group: R3m
Calculated density, kg/m³: 12979
Total moment, μB per cell: 0.00

Cell and atoms, written as CIF:
```
data_Tl2CrW
_chemical_formula_sum 'Tl2 Cr1 W1'
_space_group_name_H-M_alt 'P 1'
_space_group_IT_number 1
_cell_length_a 9.621
_cell_length_b 9.621
_cell_length_c 9.621
_cell_angle_alpha 19.00
_cell_angle_beta 19.00
_cell_angle_gamma 19.00
loop_
_space_group_symop_operation_xyz
'x,y,z'
loop_
_atom_site_label
_atom_site_type_symbol
_atom_site_fract_x
_atom_site_fract_y
_atom_site_fract_z
Cr1 Cr 0.763 0.763 0.763
Tl1 Tl 0.243 0.243 0.243
Tl2 Tl 0.011 0.011 0.011
W1 W 0.484 0.484 0.484
```

(2)
# KAsBr2O

Crystalline KAsBr2O at its relaxed geometry (PBE, Alexandria via LeMat-Bulk).

Properties
Space group: P4/mmm
Formation energy from raw total energies, eV per formula unit: 3.99
Calculated density, kg/m³: 1686
Total moment, μB per cell: 5.44

Cell and atoms, written as CIF:
```
data_KAsBr2O
_chemical_formula_sum 'K1 As1 Br2 O1'
_space_group_name_H-M_alt 'P 1'
_space_group_IT_number 1
_cell_length_a 6.242
_cell_length_b 6.242
_cell_length_c 7.328
_cell_angle_alpha 90.00
_cell_angle_beta 90.00
_cell_angle_gamma 90.00
loop_
_space_group_symop_operation_xyz
'x,y,z'
loop_
_atom_site_label
_atom_site_type_symbol
_atom_site_fract_x
_atom_site_fract_y
_atom_site_fract_z
O1 O 0.500 0.500 0.500
As1 As 0.000 0.000 0.500
K1 K 0.000 0.000 0.000
Br1 Br 0.500 0.000 0.000
Br2 Br 0.000 0.500 0.000
```

(3)
# RbAgS

Crystalline RbAgS at its relaxed geometry (PBE, Alexandria via LeMat-Bulk).

Properties
Space group: P-6m2
Formation energy from raw total energies, eV per formula unit: -1.90
Calculated density, kg/m³: 4444
Total moment, μB per cell: 0.00

Cell and atoms, written as CIF:
```
data_RbAgS
_chemical_formula_sum 'Rb1 Ag1 S1'
_space_group_name_H-M_alt 'P 1'
_space_group_IT_number 1
_cell_length_a 4.408
_cell_length_b 4.408
_cell_length_c 5.006
_cell_angle_alpha 90.00
_cell_angle_beta 90.00
_cell_angle_gamma 120.00
loop_
_space_group_symop_operation_xyz
'x,y,z'
loop_
_atom_site_label
_atom_site_type_symbol
_atom_site_fract_x
_atom_site_fract_y
_atom_site_fract_z
S1 S 0.667 0.333 0.500
Rb1 Rb 0.000 0.000 0.000
Ag1 Ag 0.333 0.667 0.500
```

(4)
# Th4InOsSe2

Crystalline Th4InOsSe2 at its relaxed geometry (PBE, Alexandria via LeMat-Bulk).

Properties
Space group: P2/m
Formation energy from raw total energies, eV per formula unit: -6.74
Calculated density, kg/m³: 10048
Total moment, μB per cell: 0.00

Cell and atoms, written as CIF:
```
data_Th4InOsSe2
_chemical_formula_sum 'Th4 In1 Os1 Se2'
_space_group_name_H-M_alt 'P 1'
_space_group_IT_number 1
_cell_length_a 4.172
_cell_length_b 7.648
_cell_length_c 7.584
_cell_angle_alpha 108.21
_cell_angle_beta 90.00
_cell_angle_gamma 90.00
loop_
_space_group_symop_operation_xyz
'x,y,z'
loop_
_atom_site_label
_atom_site_type_symbol
_atom_site_fract_x
_atom_site_fract_y
_atom_site_fract_z
Th1 Th 0.500 0.723 0.754
Th2 Th 0.000 0.719 0.222
Th3 Th 0.500 0.277 0.246
Th4 Th 0.000 0.281 0.778
Se1 Se 0.000 0.500 0.500
Se2 Se 0.500 0.000 0.500
Os1 Os 0.500 0.500 0.000
In1 In 0.000 0.000 0.000
```

(5)
# PrEr2Hg8

Crystalline PrEr2Hg8 at its relaxed geometry (PBE, Alexandria via LeMat-Bulk).

Properties
Uncorrected energy, eV per atom: -1.782
Space group: C2/m
Calculated density, kg/m³: 12358
Total moment, μB per cell: 0.00

Cell and atoms, written as CIF:
```
data_PrEr2Hg8
_chemical_formula_sum 'Pr1 Er2 Hg8'
_space_group_name_H-M_alt 'P 1'
_space_group_IT_number 1
_cell_length_a 5.094
_cell_length_b 7.577
_cell_length_c 8.566
_cell_angle_alpha 116.35
_cell_angle_beta 107.30
_cell_angle_gamma 90.00
loop_
_space_group_symop_operation_xyz
'x,y,z'
loop_
_atom_site_label
_atom_site_type_symbol
_atom_site_fract_x
_atom_site_fract_y
_atom_site_fract_z
Hg1 Hg 0.000 0.299 0.001
Hg2 Hg 0.000 0.701 0.999
Hg3 Hg 0.348 0.556 0.695
Hg4 Hg 0.651 0.859 0.302
Hg5 Hg 0.844 0.845 0.688
Hg6 Hg 0.156 0.155 0.312
Hg7 Hg 0.349 0.141 0.698
Hg8 Hg 0.652 0.444 0.305
Er1 Er 0.806 0.305 0.612
Er2 Er 0.194 0.695 0.388
Pr1 Pr 0.500 0.000 0.000
```

(6)
# Sc2IrRh

Crystalline Sc2IrRh at its relaxed geometry (PBE, Alexandria via LeMat-Bulk).

Properties
Uncorrected energy, eV per atom: -7.789
Space group: R-3m
Calculated density, kg/m³: 9194
Total moment, μB per cell: 0.00

Cell and atoms, written as CIF:
```
data_Sc2IrRh
_chemical_formula_sum 'Sc2 Ir1 Rh1'
_space_group_name_H-M_alt 'P 1'
_space_group_IT_number 1
_cell_length_a 8.463
_cell_length_b 8.463
_cell_length_c 8.463
_cell_angle_alpha 21.22
_cell_angle_beta 21.22
_cell_angle_gamma 21.22
loop_
_space_group_symop_operation_xyz
'x,y,z'
loop_
_atom_site_label
_atom_site_type_symbol
_atom_site_fract_x
_atom_site_fract_y
_atom_site_fract_z
Ir1 Ir 0.250 0.250 0.250
Sc1 Sc 0.499 0.499 0.499
Sc2 Sc 0.001 0.001 0.001
Rh1 Rh 0.750 0.750 0.750
```

(7)
# NaMnSi2

Crystalline NaMnSi2 at its relaxed geometry (PBE, Alexandria via LeMat-Bulk).

Properties
Space group: Fm-3m
Formation energy from raw total energies, eV per formula unit: 1.49
Calculated density, kg/m³: 3845
Total moment, μB per cell: 1.95

Cell and atoms, written as CIF:
```
data_NaMnSi2
_chemical_formula_sum 'Na1 Mn1 Si2'
_space_group_name_H-M_alt 'P 1'
_space_group_IT_number 1
_cell_length_a 4.343
_cell_length_b 4.343
_cell_length_c 4.343
_cell_angle_alpha 60.00
_cell_angle_beta 60.00
_cell_angle_gamma 60.00
loop_
_space_group_symop_operation_xyz
'x,y,z'
loop_
_atom_site_label
_atom_site_type_symbol
_atom_site_fract_x
_atom_site_fract_y
_atom_site_fract_z
Si1 Si 0.250 0.250 0.250
Si2 Si 0.750 0.750 0.750
Na1 Na 0.000 0.000 0.000
Mn1 Mn 0.500 0.500 0.500
```

(8)
# RePdSe3

Crystalline RePdSe3 at its relaxed geometry (PBE, Alexandria via LeMat-Bulk).

Properties
Space group: P-1
Formation energy from raw total energies, eV per formula unit: -0.93
Calculated density, kg/m³: 8889
Total moment, μB per cell: 0.00

Cell and atoms, written as CIF:
```
data_RePdSe3
_chemical_formula_sum 'Re2 Pd2 Se6'
_space_group_name_H-M_alt 'P 1'
_space_group_IT_number 1
_cell_length_a 6.178
_cell_length_b 6.540
_cell_length_c 7.041
_cell_angle_alpha 61.12
_cell_angle_beta 58.67
_cell_angle_gamma 58.22
loop_
_space_group_symop_operation_xyz
'x,y,z'
loop_
_atom_site_label
_atom_site_type_symbol
_atom_site_fract_x
_atom_site_fract_y
_atom_site_fract_z
Se1 Se 0.618 0.957 0.169
Se2 Se 0.257 0.574 0.225
Se3 Se 0.382 0.043 0.831
Se4 Se 0.743 0.426 0.775
Se5 Se 0.855 0.276 0.319
Se6 Se 0.145 0.724 0.681
Re1 Re 0.262 0.368 0.001
Re2 Re 0.738 0.632 0.999
Pd1 Pd 0.793 0.851 0.479
Pd2 Pd 0.207 0.149 0.521
```

(9)
# B2C

Crystalline B2C at its relaxed geometry (PBE, Alexandria via LeMat-Bulk).

Properties
Uncorrected energy, eV per atom: -7.021
Space group: Pm
Calculated density, kg/m³: 2611
Total moment, μB per cell: 0.00

Cell and atoms, written as CIF:
```
data_B2C
_chemical_formula_sum 'B8 C4'
_space_group_name_H-M_alt 'P 1'
_space_group_IT_number 1
_cell_length_a 2.623
_cell_length_b 4.685
_cell_length_c 6.970
_cell_angle_alpha 92.58
_cell_angle_beta 90.00
_cell_angle_gamma 90.00
loop_
_space_group_symop_operation_xyz
'x,y,z'
loop_
_atom_site_label
_atom_site_type_symbol
_atom_site_fract_x
_atom_site_fract_y
_atom_site_fract_z
C1 C 0.000 0.315 0.583
C2 C 0.500 0.487 0.256
C3 C 0.500 0.844 0.593
C4 C 0.500 0.165 0.650
B1 B 0.500 0.179 0.876
B2 B 0.000 0.992 0.249
B3 B 0.500 0.485 0.033
B4 B 0.500 0.800 0.364
B5 B 0.000 0.390 0.357
B6 B 0.000 0.670 0.631
B7 B 0.000 0.009 0.010
B8 B 0.000 0.665 0.899
```

(10)
# SrCrPt2

Crystalline SrCrPt2 at its relaxed geometry (PBE, Alexandria via LeMat-Bulk).

Properties
Uncorrected energy, eV per atom: -5.545
Space group: Fm-3m
Calculated density, kg/m³: 11516
Total moment, μB per cell: 0.70

Cell and atoms, written as CIF:
```
data_SrCrPt2
_chemical_formula_sum 'Sr1 Cr1 Pt2'
_space_group_name_H-M_alt 'P 1'
_space_group_IT_number 1
_cell_length_a 4.763
_cell_length_b 4.763
_cell_length_c 4.763
_cell_angle_alpha 60.00
_cell_angle_beta 60.00
_cell_angle_gamma 60.00
loop_
_space_group_symop_operation_xyz
'x,y,z'
loop_
_atom_site_label
_atom_site_type_symbol
_atom_site_fract_x
_atom_site_fract_y
_atom_site_fract_z
Sr1 Sr 0.500 0.500 0.500
Pt1 Pt 0.250 0.250 0.250
Pt2 Pt 0.750 0.750 0.750
Cr1 Cr 0.000 0.000 0.000
```

(11)
# Ca2ZnSnW

Crystalline Ca2ZnSnW at its relaxed geometry (PBE, Alexandria via LeMat-Bulk).

Properties
Uncorrected energy, eV per atom: -3.516
Space group: P4/mmm
Calculated density, kg/m³: 4797
Total moment, μB per cell: 1.79

Cell and atoms, written as CIF:
```
data_Ca2ZnSnW
_chemical_formula_sum 'Ca2 Zn1 Sn1 W1'
_space_group_name_H-M_alt 'P 1'
_space_group_IT_number 1
_cell_length_a 5.582
_cell_length_b 4.977
_cell_length_c 5.582
_cell_angle_alpha 90.00
_cell_angle_beta 90.00
_cell_angle_gamma 90.00
loop_
_space_group_symop_operation_xyz
'x,y,z'
loop_
_atom_site_label
_atom_site_type_symbol
_atom_site_fract_x
_atom_site_fract_y
_atom_site_fract_z
Ca1 Ca 0.500 0.000 0.000
Ca2 Ca 0.000 0.000 0.500
W1 W 0.000 0.000 0.000
Sn1 Sn 0.500 0.500 0.500
Zn1 Zn 0.000 0.500 0.000
```

(12)
# Cs2TiClF6

Crystalline Cs2TiClF6 at its relaxed geometry (PBE, Alexandria via LeMat-Bulk).

Properties
Space group: I4/mmm
Formation energy from raw total energies, eV per formula unit: -27.80
Calculated density, kg/m³: 3471
Total moment, μB per cell: 1.00

Cell and atoms, written as CIF:
```
data_Cs2TiClF6
_chemical_formula_sum 'Cs2 Ti1 Cl1 F6'
_space_group_name_H-M_alt 'P 1'
_space_group_IT_number 1
_cell_length_a 6.663
_cell_length_b 6.663
_cell_length_c 6.863
_cell_angle_alpha 60.96
_cell_angle_beta 60.96
_cell_angle_gamma 90.00
loop_
_space_group_symop_operation_xyz
'x,y,z'
loop_
_atom_site_label
_atom_site_type_symbol
_atom_site_fract_x
_atom_site_fract_y
_atom_site_fract_z
F1 F 0.799 0.799 0.000
F2 F 0.799 0.201 0.000
F3 F 0.201 0.201 0.000
F4 F 0.201 0.799 0.000
F5 F 0.811 0.811 0.379
F6 F 0.189 0.189 0.621
Cl1 Cl 0.500 0.500 0.000
Cs1 Cs 0.250 0.750 0.500
Cs2 Cs 0.750 0.250 0.500
Ti1 Ti 0.000 0.000 0.000
```